1 | Here is Ho2LuHf after structural relaxation from Alexandria via LeMat-Bulk. Energies are from PBE.

Cell and atoms, written as POSCAR:
```
Ho2LuHf
1.0
3.9668 0.0000 0.0000
0.0000 3.9668 0.0000
0.0000 0.0000 7.1186
Ho Lu Hf
2 1 1
Cartesian
0.0000 0.0000 1.6193 Ho
0.0000 0.0000 5.4993 Ho
1.9834 1.9834 3.5593 Lu
1.9834 1.9834 0.0000 Hf
```

Computed properties:
The value obtained for the density of states at the Fermi level is 1.677 states/eV/atom.

2 | Here is Ho2LuHf after structural relaxation from Alexandria via LeMat-Bulk. Energies are from PBE.

Cell and atoms, written as POSCAR:
```
Ho2LuHf
1.0
4.8075 0.0000 0.0000
0.0000 4.8075 0.0000
0.0000 0.0000 4.7814
Ho Lu Hf
2 1 1
Cartesian
0.0000 2.4037 0.0000 Ho
2.4037 0.0000 0.0000 Ho
0.0000 0.0000 2.3907 Lu
2.4037 2.4037 2.3907 Hf
```

Computed properties:
The value obtained for the density of states at the Fermi level is 1.324 states/eV/atom.

Relative energy table, unit kJ/mol of atoms: 1 8.2; 2 0.0